[1]
Here is LaPr2SmDy5 after structural relaxation from the Alexandria database. Energies are from GGA-PBE.

a b c (Å): 8.771 8.771 10.034
angles (deg): 115.92 115.92 90.00
Element x y z (fractional)
La: 0.250 0.250 0.500
La: 0.750 0.750 0.500
Pr: 0.118 0.382 0.000
Pr: 0.618 0.118 0.000
Pr: 0.382 0.882 0.000
Pr: 0.882 0.618 0.000
Sm: 0.250 0.750 0.500
Sm: 0.750 0.250 0.500
Dy: 0.928 0.428 0.275
Dy: 0.653 0.153 0.725
Dy: 0.072 0.572 0.725
Dy: 0.153 0.072 0.725
Dy: 0.572 0.653 0.725
Dy: 0.847 0.928 0.275
Dy: 0.428 0.347 0.275
Dy: 0.347 0.847 0.275
Dy: 0.500 0.500 0.000
Dy: 0.000 0.000 0.000

Output
ΔH_f (0 K) (eV per formula unit): 2.22
Fermi-level density of states (states/eV/cell): 19.7

[2]
Here is WCl after structural relaxation from the Alexandria database. Energies are from GGA-PBE.

a b c (Å): 10.589 10.589 3.196
angles (deg): 90.00 90.00 90.00
Element x y z (fractional)
W: 0.918 0.393 0.500
W: 0.082 0.607 0.500
W: 0.607 0.918 0.500
W: 0.393 0.082 0.500
W: 0.885 0.586 0.000
W: 0.115 0.414 0.000
W: 0.414 0.885 0.000
W: 0.586 0.115 0.000
Cl: 0.715 0.688 0.500
Cl: 0.285 0.312 0.500
Cl: 0.312 0.715 0.500
Cl: 0.688 0.285 0.500
Cl: 0.973 0.209 0.000
Cl: 0.027 0.791 0.000
Cl: 0.791 0.973 0.000
Cl: 0.209 0.027 0.000

Output
Offset from the most stable computed form (meV per atom): 125.8
Fermi-level density of states (states/eV/cell): 3.2

[3]
Here is TaTi2Si after structural relaxation from the Alexandria database. Energies are from GGA-PBE.

a b c (Å): 3.536 4.237 4.237
angles (deg): 90.00 90.00 90.00
Element x y z (fractional)
Si: 0.500 0.000 0.000
Ti: 0.000 0.000 0.500
Ti: 0.000 0.500 0.000
Ta: 0.500 0.500 0.500

Output
Fermi-level density of states (states/eV/cell): 5.1
Energy (hartree per atom): -0.318

Q: Fermi-level density of states of number 1 (LaPr2SmDy5)?
A: 19.7 states/eV/cell